a:
VASP calculation (GGA-PBEsol) on a relaxed structure of BaCaCd.

Cell: 5.458 5.458 5.458 Å, 60.00 60.00 60.00°
Sites, in units of the cell vectors:
1 Ca 0.250 0.250 0.250
2 Ba 0.500 0.500 0.500
3 Cd 0.000 0.000 0.000

## Properties
Total moment ... 0.0 μB/f.u.
Symmetry ... No. 216
DOS at the Fermi energy ... 1.653 states/eV/atom

=====

b:
VASP calculation (GGA-PBEsol) on a relaxed structure of BaCaCd.

Cell: 3.989 3.989 7.486 Å, 105.45 105.45 90.00°
Sites, in units of the cell vectors:
1 Ca 0.703 0.703 0.407
2 Ba 0.978 0.978 0.956
3 Cd 0.319 0.319 0.637

## Properties
Total moment ... 0.0 μB/f.u.
Symmetry ... No. 107
DOS at the Fermi energy ... 1.001 states/eV/atom

=====

Top of the stability list: b, leading by 448 meV per atom.

=====

a:
VASP calculation (GGA-PBEsol) on a relaxed structure of Ba2CaCl.

Cell: 4.939 4.939 8.128 Å, 107.69 107.69 90.00°
Sites, in units of the cell vectors:
1 Ca 0.500 0.500 0.000
2 Ba 0.000 0.000 0.000
3 Ba 0.750 0.250 0.500
4 Cl 0.250 0.750 0.500

## Properties
Total moment ... 0.0 μB/f.u.
Symmetry ... No. 119
DOS at the Fermi energy ... 1.287 states/eV/atom

=====

b:
VASP calculation (GGA-PBEsol) on a relaxed structure of Ba2CaCl.

Cell: 4.187 7.464 7.464 Å, 59.56 73.71 73.71°
Sites, in units of the cell vectors:
1 Ca 0.500 0.000 0.000
2 Ba 0.311 0.689 0.689
3 Ba 0.689 0.311 0.311
4 Cl 0.000 0.500 0.500

## Properties
Total moment ... 0.0 μB/f.u.
Symmetry ... No. 71
DOS at the Fermi energy ... 1.114 states/eV/atom

=====

Top of the stability list: b, leading by 228 meV per atom.

=====

a:
VASP calculation (GGA-PBEsol) on a relaxed structure of BaCa2Co.

Cell: 3.840 6.434 6.435 Å, 62.79 72.64 72.64°
Sites, in units of the cell vectors:
1 Ca 0.005 0.059 0.930
2 Ca 0.826 0.711 0.637
3 Co 0.490 0.364 0.657
4 Ba 0.178 0.366 0.277

## Properties
Total moment ... 0.0 μB/f.u.
Symmetry ... No. 8
DOS at the Fermi energy ... 0.730 states/eV/atom

=====

b:
VASP calculation (GGA-PBEsol) on a relaxed structure of BaCa2Co.

Cell: 3.963 3.963 10.465 Å, 79.08 79.08 60.00°
Last column: magnetic moment on the atom in μB.
Sites, in units of the cell vectors:
1 Ca 0.004 0.004 0.987  0.01
2 Ca 0.777 0.777 0.668  -0.03
3 Co 0.497 0.497 0.510  0.84
4 Ba 0.222 0.222 0.335  -0.07

## Properties
Total moment ... 0.6 μB/f.u.
Symmetry ... No. 160
DOS at the Fermi energy ... 1.392 states/eV/atom

=====

c:
VASP calculation (GGA-PBEsol) on a relaxed structure of BaCa2Co.

Cell: 3.646 3.646 9.617 Å, 90.00 90.00 90.00°
Last column: magnetic moment on the atom in μB.
Sites, in units of the cell vectors:
1 Ca 0.000 0.000 0.024  0.02
2 Ca 0.500 0.500 0.324  -0.07
3 Co 0.000 0.000 0.479  1.11
4 Ba 0.500 0.500 0.674  -0.09

## Properties
Total moment ... 0.8 μB/f.u.
Symmetry ... No. 99
DOS at the Fermi energy ... 1.639 states/eV/atom

=====

Top of the stability list: a, leading by 26 meV per atom.

=====

a:
VASP calculation (GGA-PBEsol) on a relaxed structure of Ba2CaH2.

Cell: 4.245 8.022 8.022 Å, 90.00 90.00 90.00°
Sites, in units of the cell vectors:
1 H 0.000 0.325 0.825
2 H 0.000 0.825 0.675
3 H 0.000 0.675 0.175
4 H 0.000 0.175 0.325
5 Ca 0.000 0.000 0.000
6 Ca 0.000 0.500 0.500
7 Ba 0.500 0.168 0.668
8 Ba 0.500 0.668 0.832
9 Ba 0.500 0.832 0.332
10 Ba 0.500 0.332 0.168

## Properties
Total moment ... 0.0 μB/f.u.
Symmetry ... No. 127
DOS at the Fermi energy ... 0.664 states/eV/atom

=====

b:
VASP calculation (GGA-PBEsol) on a relaxed structure of Ba2CaH2.

Cell: 4.302 4.302 9.470 Å, 103.13 103.13 90.00°
Sites, in units of the cell vectors:
1 H 0.250 0.750 0.500
2 H 0.750 0.250 0.500
3 Ca 0.000 0.000 0.000
4 Ba 0.329 0.329 0.658
5 Ba 0.671 0.671 0.342

## Properties
Total moment ... 0.0 μB/f.u.
Symmetry ... No. 139
DOS at the Fermi energy ... 0.832 states/eV/atom

=====

Top of the stability list: b, leading by 241 meV per atom.

=====

a:
VASP calculation (GGA-PBEsol) on a relaxed structure of BaCa2Hg2.

Cell: 5.051 5.051 7.565 Å, 109.50 109.50 90.00°
Sites, in units of the cell vectors:
1 Ca 0.250 0.750 0.500
2 Ca 0.750 0.250 0.500
3 Hg 0.393 0.393 0.785
4 Hg 0.607 0.607 0.215
5 Ba 0.000 0.000 0.000

## Properties
Total moment ... 0.0 μB/f.u.
Symmetry ... No. 139
DOS at the Fermi energy ... 1.321 states/eV/atom

=====

b:
VASP calculation (GGA-PBEsol) on a relaxed structure of BaCa2Hg2.

Cell: 4.297 8.641 8.641 Å, 90.00 90.00 90.00°
Sites, in units of the cell vectors:
1 Ca 0.500 0.156 0.656
2 Ca 0.500 0.656 0.844
3 Ca 0.500 0.844 0.344
4 Ca 0.500 0.344 0.156
5 Hg 0.000 0.369 0.869
6 Hg 0.000 0.869 0.631
7 Hg 0.000 0.631 0.131
8 Hg 0.000 0.131 0.369
9 Ba 0.000 0.000 0.000
10 Ba 0.000 0.500 0.500

## Properties
Total moment ... 0.0 μB/f.u.
Symmetry ... No. 127
DOS at the Fermi energy ... 0.687 states/eV/atom

=====

Top of the stability list: b, leading by 49 meV per atom.

=====

a:
VASP calculation (GGA-PBEsol) on a relaxed structure of BaCaI4.

Cell: 4.848 7.689 7.689 Å, 90.24 90.04 90.04°
Sites, in units of the cell vectors:
1 I 0.984 0.212 0.780
2 I 0.984 0.780 0.212
3 I 0.484 0.313 0.313
4 I 0.485 0.682 0.682
5 Ca 0.984 0.498 0.498
6 Ba 0.484 0.998 0.998

## Properties
Total moment ... 0.0 μB/f.u.
Symmetry ... No. 38
DOS at the Fermi energy ... 0.000 states/eV/atom

=====

b:
VASP calculation (GGA-PBEsol) on a relaxed structure of BaCaI4.

Cell: 7.539 8.757 8.975 Å, 113.42 108.36 102.42°
Sites, in units of the cell vectors:
1 I 0.490 0.770 0.125
2 I 0.703 0.284 0.345
3 I 0.135 0.355 0.125
4 I 0.142 0.061 0.345
5 I 0.858 0.939 0.655
6 I 0.865 0.645 0.875
7 I 0.297 0.716 0.655
8 I 0.510 0.230 0.875
9 Ca 0.249 0.999 0.997
10 Ca 0.751 0.001 0.003
11 Ba 0.115 0.365 0.731
12 Ba 0.885 0.635 0.269

## Properties
Total moment ... 0.0 μB/f.u.
Symmetry ... No. 15
DOS at the Fermi energy ... 0.000 states/eV/atom

=====

c:
VASP calculation (GGA-PBEsol) on a relaxed structure of BaCaI4.

Cell: 7.795 11.019 11.414 Å, 90.00 90.00 90.00°
Sites, in units of the cell vectors:
1 Ba 0.464 0.163 0.250
2 Ba 0.464 0.337 0.750
3 Ba 0.536 0.837 0.750
4 Ba 0.536 0.663 0.250
5 Ca 0.000 0.000 0.000
6 Ca 0.000 0.500 0.000
7 Ca 0.000 0.000 0.500
8 Ca 0.000 0.500 0.500
9 I 0.192 0.250 0.000
10 I 0.192 0.250 0.500
11 I 0.129 0.546 0.250
12 I 0.129 0.954 0.750
13 I 0.342 0.599 0.584
14 I 0.342 0.901 0.084
15 I 0.342 0.599 0.916
16 I 0.342 0.901 0.416
17 I 0.658 0.099 0.584
18 I 0.658 0.401 0.084
19 I 0.658 0.401 0.416
20 I 0.658 0.099 0.916
21 I 0.871 0.454 0.750
22 I 0.871 0.046 0.250
23 I 0.808 0.750 0.000
24 I 0.808 0.750 0.500

## Properties
Total moment ... 0.0 μB/f.u.
Symmetry ... No. 57
DOS at the Fermi energy ... 0.000 states/eV/atom

=====

d:
VASP calculation (GGA-PBEsol) on a relaxed structure of BaCaI4.

Cell: 7.837 8.148 8.158 Å, 90.00 90.00 101.66°
Sites, in units of the cell vectors:
1 I 0.246 0.900 0.437
2 I 0.252 0.513 0.062
3 I 0.246 0.400 0.563
4 I 0.252 0.013 0.938
5 I 0.748 0.987 0.062
6 I 0.754 0.600 0.437
7 I 0.748 0.487 0.938
8 I 0.754 0.100 0.563
9 Ca 0.000 0.750 0.163
10 Ca 0.000 0.250 0.837
11 Ba 0.500 0.750 0.730
12 Ba 0.500 0.250 0.270

## Properties
Total moment ... 0.0 μB/f.u.
Symmetry ... No. 13
DOS at the Fermi energy ... 0.000 states/eV/atom

=====

Top of the stability list: d, leading by 19 meV per atom.

=====

a:
VASP calculation (GGA-PBEsol) on a relaxed structure of BaCaI4.

Cell: 6.033 7.945 11.291 Å, 90.00 105.50 90.00°
Sites, in units of the cell vectors:
1 I 0.898 0.016 0.796
2 I 0.542 0.869 0.084
3 I 0.677 0.195 0.354
4 I 0.711 0.712 0.422
5 I 0.102 0.516 0.204
6 I 0.289 0.212 0.578
7 I 0.458 0.369 0.916
8 I 0.323 0.695 0.646
9 Ca 0.590 0.501 0.180
10 Ca 0.410 0.001 0.820
11 Ba 0.829 0.416 0.657
12 Ba 0.171 0.916 0.343

## Properties
Total moment ... 0.0 μB/f.u.
Symmetry ... No. 36
DOS at the Fermi energy ... 0.000 states/eV/atom

=====

b:
VASP calculation (GGA-PBEsol) on a relaxed structure of BaCaI4.

Cell: 5.645 5.645 9.600 Å, 72.90 72.90 60.00°
Sites, in units of the cell vectors:
1 I 0.381 0.381 0.858
2 I 0.131 0.131 0.607
3 I 0.869 0.869 0.393
4 I 0.619 0.619 0.142
5 Ca 0.500 0.500 0.500
6 Ba 0.000 0.000 0.000

## Properties
Total moment ... 0.0 μB/f.u.
Symmetry ... No. 166
DOS at the Fermi energy ... 0.000 states/eV/atom

=====

Top of the stability list: a, leading by 5 meV per atom.

=====

a:
VASP calculation (GGA-PBEsol) on a relaxed structure of BaCa2I6.

Cell: 7.652 8.182 12.549 Å, 90.58 107.75 90.00°
Sites, in units of the cell vectors:
1 Ba 0.776 0.250 0.000
2 Ba 0.224 0.750 0.000
3 Ca 0.402 0.172 0.342
4 Ca 0.941 0.672 0.342
5 Ca 0.059 0.328 0.658
6 Ca 0.598 0.828 0.658
7 I 0.489 0.090 0.133
8 I 0.644 0.590 0.133
9 I 0.157 0.456 0.205
10 I 0.049 0.956 0.205
11 I 0.740 0.403 0.447
12 I 0.707 0.903 0.447
13 I 0.293 0.097 0.553
14 I 0.260 0.597 0.553
15 I 0.951 0.044 0.795
16 I 0.843 0.544 0.795
17 I 0.356 0.410 0.867
18 I 0.511 0.910 0.867

## Properties
Total moment ... 0.0 μB/f.u.
Symmetry ... No. 15
DOS at the Fermi energy ... 0.000 states/eV/atom

=====

b:
VASP calculation (GGA-PBEsol) on a relaxed structure of BaCa2I6.

Cell: 7.308 7.927 7.927 Å, 120.00 90.00 90.00°
Sites, in units of the cell vectors:
1 I 0.256 0.000 0.638
2 I 0.744 0.000 0.362
3 I 0.256 0.638 0.000
4 I 0.744 0.362 0.000
5 I 0.744 0.638 0.638
6 I 0.256 0.362 0.362
7 Ca 0.500 0.667 0.333
8 Ca 0.500 0.333 0.667
9 Ba 0.000 0.000 0.000

## Properties
Total moment ... 0.0 μB/f.u.
Symmetry ... No. 162
DOS at the Fermi energy ... 0.000 states/eV/atom

=====

Top of the stability list: b, leading by 25 meV per atom.

=====

a:
VASP calculation (GGA-PBEsol) on a relaxed structure of BaCa2I6.

Cell: 7.022 13.845 13.845 Å, 120.00 90.00 90.00°
Sites, in units of the cell vectors:
1 Ba 0.505 0.667 0.333
2 Ba 0.000 0.000 0.000
3 Ba 0.495 0.333 0.667
4 Ca 0.000 0.000 0.656
5 Ca 0.500 0.000 0.322
6 Ca 0.000 0.656 0.000
7 Ca 0.500 0.678 0.678
8 Ca 0.500 0.322 0.000
9 Ca 0.000 0.344 0.344
10 I 0.261 0.895 0.762
11 I 0.766 0.780 0.571
12 I 0.244 0.904 0.439
13 I 0.244 0.561 0.465
14 I 0.766 0.792 0.220
15 I 0.261 0.867 0.105
16 I 0.766 0.429 0.208
17 I 0.739 0.762 0.895
18 I 0.244 0.535 0.096
19 I 0.261 0.238 0.133
20 I 0.234 0.571 0.780
21 I 0.756 0.439 0.904
22 I 0.756 0.465 0.561
23 I 0.234 0.220 0.792
24 I 0.739 0.105 0.867
25 I 0.234 0.208 0.429
26 I 0.756 0.096 0.535
27 I 0.739 0.133 0.238

## Properties
Total moment ... 0.0 μB/f.u.
Symmetry ... No. 150
DOS at the Fermi energy ... 0.000 states/eV/atom

=====

b:
VASP calculation (GGA-PBEsol) on a relaxed structure of BaCa2I6.

Cell: 7.673 8.626 11.443 Å, 90.00 89.99 90.00°
Sites, in units of the cell vectors:
1 Ba 0.448 0.634 0.498
2 Ba 0.948 0.366 0.998
3 Ca 0.480 0.240 0.745
4 Ca 0.480 0.240 0.251
5 Ca 0.980 0.760 0.245
6 Ca 0.980 0.760 0.751
7 I 0.152 0.439 0.309
8 I 0.134 0.723 0.998
9 I 0.152 0.439 0.688
10 I 0.350 0.197 0.998
11 I 0.318 0.925 0.682
12 I 0.319 0.925 0.314
13 I 0.652 0.561 0.809
14 I 0.634 0.277 0.498
15 I 0.652 0.561 0.188
16 I 0.850 0.803 0.498
17 I 0.818 0.075 0.182
18 I 0.819 0.075 0.814

## Properties
Total moment ... 0.0 μB/f.u.
Symmetry ... No. 7
DOS at the Fermi energy ... 0.000 states/eV/atom

=====

Top of the stability list: b, leading by 29 meV per atom.